Below is a relaxed LiMn2O4 crystal, with properties calculated at the PBE+U level.

Cell lengths 2.9038, 5.2396, 5.7005 Å; angles 114.25, 104.76, 90.00 degrees
Site moments in Bohr magnetons follow the coordinates.
Sites, in units of the cell vectors:
O1 0.6529 0.3011 0.3059  -0.11
Mn1 0.7320 0.7355 0.4641  3.67
O2 0.3471 0.6989 0.6941  -0.11
Mn2 0.2680 0.2645 0.5359  3.67
O3 0.1413 0.8272 0.2825  -0.12
O4 0.8587 0.1728 0.7175  -0.12
Li1 0.0000 0.0000 0.0000  0.00

Space-group type: C2/m
Energy above the most stable polymorph in this dataset: 0.77 eV/f.u.